1.
Material: Sr3MgTa
Method: DFT, GGA-PBEsol
State: optimized geometry

Values from the calculation:
Spin magnetization (Bohr magnetons per cell): 0.00
ΔE to the lowest computed polymorph (meV per atom): 0
N(E_F) (states/eV/atom): 0.91
Space group: Pm-3m, No. 221
Formation enthalpy at 0 K (eV per atom): 0.985

a b c (Å): 5.8604 5.8604 5.8604
angles (deg): 90.00 90.00 90.00
Positions (direct):
Sr  0.0000  0.5000  0.0000
Sr  0.0000  0.0000  0.5000
Sr  0.5000  0.0000  0.0000
Mg  0.5000  0.5000  0.5000
Ta  0.0000  0.0000  0.0000

2.
Material: ZrScHg
Method: DFT, GGA-PBEsol
State: optimized geometry

Values from the calculation:
Spin magnetization (Bohr magnetons per cell): 0.67
ΔE to the lowest computed polymorph (meV per atom): 421
N(E_F) (states/eV/atom): 1.48
Space group: F-43m, No. 216
Formation enthalpy at 0 K (eV per atom): 0.103

a b c (Å): 4.7052 4.7052 4.7052
angles (deg): 60.00 60.00 60.00
Each line ends with the local moment (μB).
Positions (direct):
Hg  0.2500  0.2500  0.2500  0.01
Sc  0.0000  0.0000  0.0000  0.21
Zr  0.5000  0.5000  0.5000  0.24

3.
Material: Ba2EuRuO6
Method: DFT, GGA-PBEsol
State: optimized geometry

Values from the calculation:
Spin magnetization (Bohr magnetons per cell): 4.40
N(E_F) (states/eV/atom): 1.49
Space group: Fm-3m, No. 225
Formation energy without anion corrections (eV/f.u.): -22.979

a b c (Å): 5.9281 5.9281 5.9281
angles (deg): 60.00 60.00 60.00
Each line ends with the local moment (μB).
Positions (direct):
Eu  0.5000  0.5000  0.5000  -6.22
Ru  0.0000  0.0000  0.0000  1.14
Ba  0.2500  0.2500  0.2500  0.01
Ba  0.7500  0.7500  0.7500  0.01
O  0.2309  0.7691  0.2309  0.09
O  0.2309  0.2309  0.7691  0.09
O  0.7691  0.7691  0.2309  0.09
O  0.2309  0.7691  0.7691  0.09
O  0.7691  0.2309  0.7691  0.09
O  0.7691  0.2309  0.2309  0.09